## Er3Cd4Ga2 (PBE)

Data for a geometry-optimized Er3Cd4Ga2 structure.

Output
D(E_F): 4.30 states/eV/cell
ΔE_f: -0.3852 eV per atom
Symmetry: C2/m

Lattice parameters (Å, degrees): 4.7765 5.9055 8.9555 115.11 90.00 113.85
Last column: nearest neighbours and their distance in Å.
Fractional positions:
Er 0.6662 0.3324 0.6683  8 Cd 3.17-3.35, 4 Ga 3.21-3.29, 2 Er 3.45
Er 0.0000 0.0000 0.0000  8 Cd 3.16-3.38, 4 Ga 3.23, 2 Er 3.45
Er 0.3338 0.6676 0.3317  8 Cd 3.17-3.35, 4 Ga 3.21-3.29, 2 Er 3.45
Cd 0.7057 0.4113 0.0430  1 Ga 2.74, 2 Cd 2.81
Cd 0.2943 0.5887 0.9570  1 Ga 2.74, 2 Cd 2.81
Cd 0.9279 0.8557 0.5982  2 Ga 2.75, 1 Cd 2.84
Cd 0.0721 0.1443 0.4018  2 Ga 2.75, 1 Cd 2.84
Ga 0.6057 0.2114 0.2732  3 Cd 2.74-2.75
Ga 0.3943 0.7886 0.7268  3 Cd 2.74-2.75

---

## La2Y2Tl3 (PBE)

Data for a geometry-optimized La2Y2Tl3 structure.

Output
E above lowest polymorph: 2 meV per atom
D(E_F): 8.15 states/eV/cell
ΔE_f: -0.2701 eV per atom
Symmetry: Cmmm

Lattice parameters (Å, degrees): 3.5981 3.6019 16.7371 90.00 83.83 90.00
Last column: nearest neighbours and their distance in Å.
Fractional positions:
La 0.5706 0.5000 0.8589  8 Tl 3.46, 4 La 3.60
La 0.4294 0.5000 0.1411  8 Tl 3.46, 4 La 3.60
Y 0.7034 0.5000 0.5932  4 Tl 3.28, 6 Y 3.58-3.60
Y 0.2966 0.5000 0.4068  4 Tl 3.28, 6 Y 3.58-3.60
Tl 0.8589 0.0000 0.2822  4 Y 3.28, 4 La 3.46, 4 Tl 3.60
Tl 0.0000 0.0000 0.0000  8 La 3.46, 4 Tl 3.60
Tl 0.1411 0.0000 0.7178  4 Y 3.28, 4 La 3.46, 4 Tl 3.60

---

## CdHgSe2 (PBE)

Data for a geometry-optimized CdHgSe2 structure.

Output
E above lowest polymorph: 474 meV per atom
D(E_F): 0.50 states/eV/cell
Uncorrected formation energy: 56 meV/atom
Symmetry: C2/m

Lattice parameters (Å, degrees): 6.8925 6.8925 4.7156 107.64 107.64 27.89
Last column: nearest neighbours and their distance in Å.
Fractional positions:
Cd 0.7500 0.7500 0.7500  4 Hg 2.88, 2 Se 3.07
Hg 0.2500 0.2500 0.2500  4 Cd 2.88
Se 0.9916 0.9916 0.9499  2 Se 2.57
Se 0.5084 0.5084 0.5501  2 Se 2.57

---

## Ca2HoPaN4 (PBE)

Data for a geometry-optimized Ca2HoPaN4 structure.

Output
Uncorrected formation energy: -1519 meV/atom
Symmetry: P2/m

Lattice parameters (Å, degrees): 3.5471 6.0409 6.0534 109.09 90.00 90.00
Last column: nearest neighbours and their distance in Å.
Fractional positions:
Ca 0.5000 0.0000 0.5000  6 N 2.53-2.57
Ca 0.0000 0.5000 0.5000  6 N 2.63-2.65
Ho 0.5000 0.5000 0.0000  6 N 2.41-2.44
Pa 0.0000 0.0000 0.0000  6 N 2.28-2.37
N 0.5000 0.2303 0.2183  2 Pa 2.37, 1 Ho 2.41, 3 Ca 2.53-2.63
N 0.5000 0.7697 0.7817  2 Pa 2.37, 1 Ho 2.41, 3 Ca 2.53-2.63
N 0.0000 0.2447 0.7821  1 Pa 2.28, 2 Ho 2.44
N 0.0000 0.7553 0.2179  1 Pa 2.28, 2 Ho 2.44